[1]
Entry from the Alexandria database: MgTi2TeS after structural relaxation (PBE).

Values from the calculation:
calculated volume	113.90	Å³/f.u.
ΔE_f (raw)	-0.0271	eV/atom
total magnetization	0.0	μB/cell

Cell and atoms, written as CIF:
```
data_MgTi2TeS
_space_group_name_H-M_alt 'P 4/m m m'
_space_group_IT_number 123
_space_group_name_Hall '-P 4 2'
_cell_length_a 4.5181
_cell_length_b 4.5181
_cell_length_c 5.5796
_cell_angle_alpha 90.00
_cell_angle_beta 90.00
_cell_angle_gamma 90.00
loop_
_atom_site_label
_atom_site_fract_x
_atom_site_fract_y
_atom_site_fract_z
_atom_site_occupancy
Mg1 0.0000 0.0000 0.0000 1
Ti1 0.0000 0.5000 0.5000 1
Te1 0.5000 0.5000 0.0000 1
S1 0.5000 0.5000 0.5000 1
```


[2]
Entry from the Alexandria database: Mg2VTeS after structural relaxation (PBE).

Values from the calculation:
calculated volume	151.16	Å³/f.u.
ΔE_f (raw)	0.8266	eV/atom
total magnetization	4.0	μB/cell

Cell and atoms, written as CIF:
```
data_Mg2VTeS
_space_group_name_H-M_alt 'P 4/m m m'
_space_group_IT_number 123
_space_group_name_Hall '-P 4 2'
_cell_length_a 5.3661
_cell_length_b 5.3661
_cell_length_c 5.2496
_cell_angle_alpha 90.00
_cell_angle_beta 90.00
_cell_angle_gamma 90.00
loop_
_atom_site_label
_atom_site_fract_x
_atom_site_fract_y
_atom_site_fract_z
_atom_site_occupancy
Mg1 0.0000 0.5000 0.0000 1
V1 0.0000 0.0000 0.5000 1
Te1 0.5000 0.5000 0.0000 1
S1 0.5000 0.5000 0.5000 1
```


[3]
Entry from the Alexandria database: MgZnTeS2 after structural relaxation (PBE).

Values from the calculation:
calculated volume	135.64	Å³/f.u.
ΔE_f (raw)	0.2819	eV/atom
total magnetization	1.2	μB/cell

Cell and atoms, written as CIF:
```
data_MgZnTeS2
_space_group_name_H-M_alt 'P 4/m m m'
_space_group_IT_number 123
_space_group_name_Hall '-P 4 2'
_cell_length_a 4.5751
_cell_length_b 4.5751
_cell_length_c 6.4803
_cell_angle_alpha 90.00
_cell_angle_beta 90.00
_cell_angle_gamma 90.00
loop_
_atom_site_label
_atom_site_fract_x
_atom_site_fract_y
_atom_site_fract_z
_atom_site_occupancy
Mg1 0.0000 0.0000 0.0000 1
Zn1 0.0000 0.0000 0.5000 1
Te1 0.5000 0.5000 0.5000 1
S1 0.0000 0.5000 0.0000 1
```


[4]
Entry from the Alexandria database: ThMgS after structural relaxation (PBE).

Values from the calculation:
calculated volume	77.70	Å³/f.u.
ΔE_f (raw)	-0.8751	eV/atom
total magnetization	0.0	μB/cell

Cell and atoms, written as CIF:
```
data_ThMgS
_space_group_name_H-M_alt 'R -3 m'
_space_group_IT_number 166
_space_group_name_Hall '-R 3 2"'
_cell_length_a 4.9182
_cell_length_b 4.9182
_cell_length_c 22.2555
_cell_angle_alpha 90.00
_cell_angle_beta 90.00
_cell_angle_gamma 120.00
loop_
_atom_site_label
_atom_site_fract_x
_atom_site_fract_y
_atom_site_fract_z
_atom_site_occupancy
Th1 0.0000 0.0000 0.0952 1
Mg1 0.0000 0.0000 0.3364 1
S1 0.0000 0.0000 0.2215 1
```


[5]
Entry from the Alexandria database: Mg2Ti2S after structural relaxation (PBE).

Values from the calculation:
calculated volume	94.82	Å³/f.u.
ΔE to the lowest computed polymorph	612	meV per atom
ΔE_f (raw)	0.2273	eV/atom
total magnetization	2.2	μB/cell

Cell and atoms, written as CIF:
```
data_Mg2Ti2S
_space_group_name_H-M_alt 'I 4/m m m'
_space_group_IT_number 139
_space_group_name_Hall '-I 4 2'
_cell_length_a 3.5505
_cell_length_b 3.5505
_cell_length_c 15.0439
_cell_angle_alpha 90.00
_cell_angle_beta 90.00
_cell_angle_gamma 90.00
loop_
_atom_site_label
_atom_site_fract_x
_atom_site_fract_y
_atom_site_fract_z
_atom_site_occupancy
Mg1 0.0000 0.5000 0.2500 1
Ti1 0.0000 0.0000 0.0835 1
S1 0.0000 0.0000 0.5000 1
```


[6]
Entry from the Alexandria database: MgTi2S after structural relaxation (PBE).

Values from the calculation:
calculated volume	73.13	Å³/f.u.
ΔE to the lowest computed polymorph	0	meV per atom
ΔE_f (raw)	-0.5961	eV/atom
total magnetization	0.0	μB/cell

Cell and atoms, written as CIF:
```
data_MgTi2S
_space_group_name_H-M_alt 'R 3 m'
_space_group_IT_number 160
_space_group_name_Hall 'R 3 -2"'
_cell_length_a 3.3792
_cell_length_b 3.3792
_cell_length_c 22.1862
_cell_angle_alpha 90.00
_cell_angle_beta 90.00
_cell_angle_gamma 120.00
loop_
_atom_site_label
_atom_site_fract_x
_atom_site_fract_y
_atom_site_fract_z
_atom_site_occupancy
Mg1 0.0000 0.0000 0.0000 1
Ti1 0.0000 0.0000 0.2249 1
Ti2 0.0000 0.0000 0.4413 1
S1 0.0000 0.0000 0.8330 1
```


The lowest calculated volume belongs to which entry? MgTi2S


Which of these has the highest total magnetization? Mg2VTeS


Which value of total magnetization does entry 2 give? 4.0 μB/cell